1.
This record from Alexandria describes crystalline Si2NiSnPt at its relaxed geometry. The functional is PBEsol.

CIF file:
```
data_Si2NiSnPt
_chemical_formula_sum 'Si2 Ni1 Sn1 Pt1'
_cell_length_a 4.503
_cell_length_b 4.895
_cell_length_c 4.895
_cell_angle_alpha 90.00
_cell_angle_beta 90.00
_cell_angle_gamma 90.00
_space_group_name_H-M_alt 'P 1'
_space_group_IT_number 1
loop_
_space_group_symop_operation_xyz
'x,y,z'
loop_
_atom_site_label
_atom_site_fract_x
_atom_site_fract_y
_atom_site_fract_z
Sn1 0.000 0.000 0.000
Ni1 0.500 0.000 0.000
Si1 0.000 0.500 0.000
Si2 0.000 0.000 0.500
Pt1 0.500 0.500 0.500
```

Results
The value obtained for the raw total energy is -4.287 eV/atom. The formation energy (no corrections) is 1.488 eV per atom.

2.
This record from Alexandria describes crystalline Sr2ScTaAs at its relaxed geometry. The functional is PBEsol.

CIF file:
```
data_Sr2ScTaAs
_chemical_formula_sum 'Sr2 Sc1 Ta1 As1'
_cell_length_a 4.711
_cell_length_b 5.765
_cell_length_c 5.765
_cell_angle_alpha 90.00
_cell_angle_beta 90.00
_cell_angle_gamma 90.00
_space_group_name_H-M_alt 'P 1'
_space_group_IT_number 1
loop_
_space_group_symop_operation_xyz
'x,y,z'
loop_
_atom_site_label
_atom_site_fract_x
_atom_site_fract_y
_atom_site_fract_z
Ta1 0.500 0.000 0.000
Sr1 0.000 0.000 0.500
As1 0.500 0.500 0.500
Sr2 0.000 0.500 0.000
Sc1 0.000 0.000 0.000
```

Results
The value obtained for the raw total energy is -4.435 eV/atom. Its calculated formation energy is 111.4 kJ/mol of atoms.

3.
This record from Alexandria describes crystalline CePr4O10 at its relaxed geometry. The functional is PBEsol.

CIF file:
```
data_CePr4O10
_chemical_formula_sum 'Ce1 Pr4 O10'
_cell_length_a 3.898
_cell_length_b 3.898
_cell_length_c 14.656
_cell_angle_alpha 97.64
_cell_angle_beta 97.64
_cell_angle_gamma 90.00
_space_group_name_H-M_alt 'P 1'
_space_group_IT_number 1
loop_
_space_group_symop_operation_xyz
'x,y,z'
loop_
_atom_site_label
_atom_site_fract_x
_atom_site_fract_y
_atom_site_fract_z
O1 0.352 0.852 0.705
O2 0.148 0.648 0.295
Pr1 0.595 0.595 0.191
O3 0.250 0.750 0.500
O4 0.852 0.352 0.705
Pr2 0.199 0.199 0.398
Pr3 0.405 0.405 0.809
Ce1 0.000 0.000 0.000
O5 0.046 0.546 0.091
O6 0.454 0.954 0.909
O7 0.648 0.148 0.295
O8 0.750 0.250 0.500
O9 0.954 0.454 0.909
O10 0.546 0.046 0.091
Pr4 0.801 0.801 0.602
```

Results
The energy above the most stable polymorph in this dataset is 0 meV/atom. The value obtained for the raw total energy is -8.070 eV/atom. The formation energy (no corrections) is -2.748 eV per atom.

4.
This record from Alexandria describes crystalline MnV at its relaxed geometry. The functional is PBEsol.

CIF file:
```
data_MnV
_chemical_formula_sum 'Mn1 V1'
_cell_length_a 2.835
_cell_length_b 2.835
_cell_length_c 2.835
_cell_angle_alpha 90.00
_cell_angle_beta 90.00
_cell_angle_gamma 90.00
_space_group_name_H-M_alt 'P 1'
_space_group_IT_number 1
loop_
_space_group_symop_operation_xyz
'x,y,z'
loop_
_atom_site_label
_atom_site_fract_x
_atom_site_fract_y
_atom_site_fract_z
V1 0.500 0.500 0.500
Mn1 0.000 0.000 0.000
```

Results
The value obtained for the raw total energy is -9.983 eV/atom. Its calculated formation energy is -27.5 kJ/mol of atoms.

5.
This record from Alexandria describes crystalline NiIrRh at its relaxed geometry. The functional is PBEsol.

CIF file:
```
data_NiIrRh
_chemical_formula_sum 'Ni1 Ir1 Rh1'
_cell_length_a 2.654
_cell_length_b 2.654
_cell_length_c 6.303
_cell_angle_alpha 90.00
_cell_angle_beta 90.00
_cell_angle_gamma 120.00
_space_group_name_H-M_alt 'P 1'
_space_group_IT_number 1
loop_
_space_group_symop_operation_xyz
'x,y,z'
loop_
_atom_site_label
_atom_site_fract_x
_atom_site_fract_y
_atom_site_fract_z
Ir1 0.000 0.000 0.992
Ni1 0.333 0.667 0.667
Rh1 0.667 0.333 0.341
```

Results
The energy above the most stable polymorph in this dataset is 34 meV/atom. The value obtained for the raw total energy is -8.002 eV/atom. Its calculated formation energy is 3.6 kJ/mol of atoms.

6.
This record from Alexandria describes crystalline Ca2Mg at its relaxed geometry. The functional is PBEsol.

CIF file:
```
data_Ca2Mg
_chemical_formula_sum 'Ca4 Mg2'
_cell_length_a 3.898
_cell_length_b 5.812
_cell_length_c 9.166
_cell_angle_alpha 90.00
_cell_angle_beta 102.28
_cell_angle_gamma 90.00
_space_group_name_H-M_alt 'P 1'
_space_group_IT_number 1
loop_
_space_group_symop_operation_xyz
'x,y,z'
loop_
_atom_site_label
_atom_site_fract_x
_atom_site_fract_y
_atom_site_fract_z
Mg1 0.570 0.250 0.139
Mg2 0.430 0.750 0.861
Ca1 0.224 0.250 0.448
Ca2 0.084 0.750 0.169
Ca3 0.776 0.750 0.552
Ca4 0.916 0.250 0.831
```

Results
The value obtained for the raw total energy is -2.027 eV/atom. Its calculated formation energy is -3.1 kJ/mol of atoms.

7.
This record from Alexandria describes crystalline Li4Mn3V2Ni3O16 at its relaxed geometry. The functional is PBEsol.

CIF file:
```
data_Li4Mn3V2Ni3O16
_chemical_formula_sum 'Li4 Mn3 V2 Ni3 O16'
_cell_length_a 5.678
_cell_length_b 5.706
_cell_length_c 9.249
_cell_angle_alpha 90.71
_cell_angle_beta 90.00
_cell_angle_gamma 119.84
_space_group_name_H-M_alt 'P 1'
_space_group_IT_number 1
loop_
_space_group_symop_operation_xyz
'x,y,z'
loop_
_atom_site_label
_atom_site_fract_x
_atom_site_fract_y
_atom_site_fract_z
O1 0.671 0.341 0.394
O2 0.171 0.343 0.416
O3 0.343 0.165 0.906
Ni1 0.831 0.172 0.287
Li1 0.997 0.995 0.502
O4 0.164 0.817 0.406
O5 0.524 0.048 0.148
Ni2 0.341 0.172 0.287
O6 0.342 0.683 0.896
O7 0.653 0.817 0.406
V1 0.330 0.660 0.499
Mn1 0.165 0.821 0.784
Ni3 0.172 0.345 0.787
O8 0.041 0.534 0.657
O9 0.481 0.961 0.667
Li2 0.667 0.334 0.602
O10 0.964 0.493 0.154
Mn2 0.656 0.821 0.784
O11 0.823 0.165 0.906
O12 0.995 0.990 0.199
Li3 0.336 0.672 0.104
V2 0.654 0.308 0.010
O13 0.493 0.534 0.657
Li4 0.002 0.004 0.009
O14 0.834 0.668 0.898
Mn3 0.824 0.648 0.280
O15 0.995 0.990 0.693
O16 0.530 0.493 0.154
```

Results
The value obtained for the raw total energy is -7.401 eV/atom. The formation energy (no corrections) is -1.726 eV per atom.

8.
This record from Alexandria describes crystalline Mn2InBIr at its relaxed geometry. The functional is PBEsol.

CIF file:
```
data_Mn2InBIr
_chemical_formula_sum 'Mn2 In1 B1 Ir1'
_cell_length_a 4.766
_cell_length_b 4.766
_cell_length_c 5.003
_cell_angle_alpha 90.00
_cell_angle_beta 90.00
_cell_angle_gamma 90.00
_space_group_name_H-M_alt 'P 1'
_space_group_IT_number 1
loop_
_space_group_symop_operation_xyz
'x,y,z'
loop_
_atom_site_label
_atom_site_fract_x
_atom_site_fract_y
_atom_site_fract_z
B1 0.500 0.500 0.500
Ir1 0.000 0.000 0.000
In1 0.000 0.000 0.500
Mn1 0.000 0.500 0.000
Mn2 0.500 0.000 0.000
```

Results
The value obtained for the raw total energy is -6.209 eV/atom. Its calculated formation energy is 160.1 kJ/mol of atoms.

no.,total moment (μB/f.u.),theoretical density (g/cm³)
1,0.00,6.598
2,0.00,5.050
3,4.06,6.559
4,0.00,7.716
5,0.30,15.283
6,0.00,1.710
7,14.39,4.642
8,8.71,6.250